Record 1
Ac2NpMn2N6 (PBE-GGA, optimized geometry); uncorrected formation energy = -0.83 eV per atom; density of states at the Fermi level = 0.633 states/eV per atom
1.0
-2.6377 -5.0285 -1.6662
2.6966 -3.6325 -3.8148
2.3906 -5.5153 2.3516
Ac Np Mn N
2 1 2 6
Direct
0.7736 0.7736 0.6791 Ac
0.2264 0.2264 0.3209 Ac
0.0000 0.0000 0.0000 Np
0.4392 0.4392 0.6824 Mn
0.5608 0.5608 0.3176 Mn
0.7522 0.7522 0.2453 N
0.2503 0.7522 0.2453 N
0.7522 0.2503 0.2453 N
0.2478 0.7497 0.7547 N
0.7497 0.2478 0.7547 N
0.2478 0.2478 0.7547 N

***

Record 2
Ac3MnP2N6 (PBE-GGA, optimized geometry); uncorrected formation energy = -0.91 eV per atom; density of states at the Fermi level = 0.149 states/eV per atom
1.0
5.6736 0.0000 0.0000
-2.8368 4.9135 0.0000
0.0000 0.0000 6.6771
Ac Mn P N
3 1 2 6
Direct
0.3333 0.6667 0.6568 Ac
0.6667 0.3333 0.3432 Ac
0.0000 0.0000 0.0000 Ac
0.0000 0.0000 0.5000 Mn
0.6667 0.3333 0.7947 P
0.3333 0.6667 0.2053 P
0.6508 0.8254 0.2993 N
0.1746 0.3492 0.2993 N
0.1746 0.8254 0.2993 N
0.8254 0.6508 0.7007 N
0.3492 0.1746 0.7007 N
0.8254 0.1746 0.7007 N

***

Record 3
AcPa2MnN5 (PBE-GGA, optimized geometry); uncorrected formation energy = -1.29 eV per atom; density of states at the Fermi level = 0.643 states/eV per atom
1.0
6.6694 0.0000 0.0000
0.0000 6.6694 0.0000
-3.3347 -3.3347 5.6676
Ac Pa Mn N
2 4 2 10
Direct
0.2500 0.2500 0.5000 Ac
0.7500 0.7500 0.5000 Ac
0.1752 0.3248 0.0000 Pa
0.6752 0.1752 0.0000 Pa
0.3248 0.8248 0.0000 Pa
0.8248 0.6752 0.0000 Pa
0.2500 0.7500 0.5000 Mn
0.7500 0.2500 0.5000 Mn
0.9860 0.4860 0.2637 N
0.7224 0.2224 0.7363 N
0.0140 0.5140 0.7363 N
0.2224 0.0140 0.7363 N
0.5140 0.7224 0.7363 N
0.7776 0.9860 0.2637 N
0.4860 0.2776 0.2637 N
0.2776 0.7776 0.2637 N
0.5000 0.5000 0.0000 N
0.0000 0.0000 0.0000 N

***

Record 4
AcPaMnN3 (PBE-GGA, optimized geometry); uncorrected formation energy = -1.10 eV per atom; density of states at the Fermi level = 0.187 states/eV per atom
1.0
-0.7798 -2.2732 -2.5613
6.1875 -3.9752 1.6442
-5.4663 -2.9202 4.2559
Ac Pa Mn N
2 2 2 6
Direct
0.7500 0.8121 0.7799 Ac
0.2500 0.1879 0.2201 Ac
0.2500 0.6700 0.1783 Pa
0.7500 0.3300 0.8217 Pa
0.2500 0.0775 0.5724 Mn
0.7500 0.9225 0.4276 Mn
0.2500 0.8160 0.5134 N
0.7500 0.8703 0.1464 N
0.7500 0.4512 0.1378 N
0.7500 0.1840 0.4866 N
0.2500 0.5488 0.8622 N
0.2500 0.1297 0.8536 N

***

Record 5
Ac2PaMn2N6 (PBE-GGA, optimized geometry); uncorrected formation energy = -0.88 eV per atom; density of states at the Fermi level = 0.758 states/eV per atom
1.0
-4.0635 -3.9189 1.2643
-1.9294 -3.5933 -4.1029
2.2691 -6.4584 0.5105
Ac Pa Mn N
2 1 2 6
Direct
0.7861 0.7861 0.6416 Ac
0.2139 0.2139 0.3584 Ac
0.0000 0.0000 0.0000 Pa
0.4039 0.4039 0.7882 Mn
0.5961 0.5961 0.2118 Mn
0.7475 0.7475 0.2662 N
0.2388 0.7475 0.2662 N
0.7475 0.2388 0.2662 N
0.2525 0.7612 0.7338 N
0.7612 0.2525 0.7338 N
0.2525 0.2525 0.7338 N

***

Record 6
AcPa3Mn4N12 (PBE-GGA, optimized geometry); uncorrected formation energy = -0.62 eV per atom; density of states at the Fermi level = 0.343 states/eV per atom
1.0
7.1074 -0.0282 -0.0392
-1.7398 6.8912 -0.0392
-1.7398 -2.2246 6.5224
Ac Pa Mn N
1 3 4 12
Direct
0.0000 0.0000 0.0000 Ac
0.5507 0.4493 0.0000 Pa
0.4493 0.0000 0.5507 Pa
0.0000 0.5507 0.4493 Pa
0.9485 0.0515 0.5000 Mn
0.0515 0.5000 0.9485 Mn
0.5000 0.9485 0.0515 Mn
0.5000 0.5000 0.5000 Mn
0.5000 0.3442 0.6558 N
0.8947 0.5000 0.1053 N
0.1053 0.8947 0.5000 N
0.5000 0.1053 0.8947 N
0.3572 0.9706 0.2139 N
0.2139 0.3572 0.9706 N
0.9706 0.2139 0.3572 N
0.6428 0.7861 0.0294 N
0.0294 0.6428 0.7861 N
0.7861 0.0294 0.6428 N
0.6558 0.5000 0.3442 N
0.3442 0.6558 0.5000 N

***

Record 7
Ac2PaMnN5 (PBE-GGA, optimized geometry); uncorrected formation energy = -1.05 eV per atom; density of states at the Fermi level = 0.279 states/eV per atom
1.0
-0.1873 -3.7262 0.1300
1.6380 0.0347 3.3545
-8.8012 0.5921 4.2914
Ac Pa Mn N
2 1 1 5
Direct
0.5000 0.5000 0.2923 Ac
0.5000 0.5000 0.7077 Ac
0.0000 0.0000 0.0000 Pa
0.0000 0.0000 0.5000 Mn
0.0000 0.5000 0.5000 N
0.5000 0.0000 0.5000 N
0.0000 0.0000 0.7883 N
0.0000 0.0000 0.2117 N
0.5000 0.5000 0.0000 N

***

Record 8
AcPa2MnN4 (PBE-GGA, optimized geometry); uncorrected formation energy = -1.28 eV per atom; density of states at the Fermi level = 0.552 states/eV per atom
1.0
-0.3462 1.7366 -2.9830
2.1152 -5.6626 -1.5249
-10.9012 -3.8147 -0.9556
Ac Pa Mn N
2 4 2 8
Direct
0.0980 0.1960 0.7500 Ac
0.9020 0.8040 0.2500 Ac
0.3668 0.7337 0.5569 Pa
0.6332 0.2663 0.0569 Pa
0.6332 0.2663 0.4431 Pa
0.3668 0.7337 0.9431 Pa
0.8366 0.6732 0.7500 Mn
0.1634 0.3268 0.2500 Mn
0.2638 0.5277 0.1141 N
0.7362 0.4723 0.6141 N
0.7362 0.4723 0.8859 N
0.2638 0.5277 0.3859 N
0.0000 0.0000 0.5000 N
0.0000 0.0000 0.0000 N
0.4317 0.8634 0.7500 N
0.5683 0.1366 0.2500 N

***

Record 9
Ac2PmMn2N6 (PBE-GGA, optimized geometry); uncorrected formation energy = -0.75 eV per atom; density of states at the Fermi level = 0.414 states/eV per atom
1.0
-1.5270 -5.4943 -0.5814
1.9375 -3.9207 3.7057
-4.8219 -2.1457 4.6843
Ac Pm Mn N
2 1 2 6
Direct
0.7861 0.7861 0.6416 Ac
0.2139 0.2139 0.3584 Ac
0.0000 0.0000 0.0000 Pm
0.4053 0.4053 0.7842 Mn
0.5947 0.5947 0.2158 Mn
0.7354 0.7354 0.2847 N
0.2445 0.7354 0.2847 N
0.7354 0.2445 0.2847 N
0.2646 0.7555 0.7153 N
0.7555 0.2646 0.7153 N
0.2646 0.2646 0.7153 N

***

Record 10
Ac2PmMnN4 (PBE-GGA, optimized geometry); uncorrected formation energy = -0.79 eV per atom; density of states at the Fermi level = 0.381 states/eV per atom
1.0
3.7072 0.0000 0.0000
-1.8536 6.7263 0.0000
0.0000 0.0000 12.5484
Ac Pm Mn N
4 2 2 8
Direct
0.3738 0.7475 0.5418 Ac
0.6262 0.2525 0.0418 Ac
0.6262 0.2525 0.4582 Ac
0.3738 0.7475 0.9582 Ac
0.1527 0.3054 0.7500 Pm
0.8473 0.6946 0.2500 Pm
0.8117 0.6235 0.7500 Mn
0.1883 0.3765 0.2500 Mn
0.2788 0.5576 0.1351 N
0.7212 0.4424 0.6351 N
0.7212 0.4424 0.8649 N
0.2788 0.5576 0.3649 N
0.0000 0.0000 0.5000 N
0.0000 0.0000 0.0000 N
0.3526 0.7052 0.7500 N
0.6474 0.2948 0.2500 N

***

Record 11
AcPmMnN4 (PBE-GGA, optimized geometry); uncorrected formation energy = -0.86 eV per atom; density of states at the Fermi level = 0.414 states/eV per atom
1.0
-3.8724 1.7574 -3.8549
-3.8652 -0.2406 3.7731
2.4044 6.5570 2.8813
Ac Pm Mn N
2 2 2 8
Direct
0.7750 0.7500 0.4756 Ac
0.2250 0.2500 0.5244 Ac
0.7684 0.7500 0.9794 Pm
0.2316 0.2500 0.0206 Pm
0.2275 0.7500 0.2665 Mn
0.7725 0.2500 0.7335 Mn
0.9649 0.4984 0.7848 N
0.0351 0.9984 0.2152 N
0.0351 0.5016 0.2152 N
0.9649 0.0016 0.7848 N
0.4546 0.7500 0.1502 N
0.5454 0.2500 0.8498 N
0.3325 0.7500 0.4985 N
0.6675 0.2500 0.5015 N

***

Record 12
Ac3PmMn2N6 (PBE-GGA, optimized geometry); uncorrected formation energy = -0.84 eV per atom; density of states at the Fermi level = 0.181 states/eV per atom
1.0
6.0208 0.0000 0.0000
-3.0104 5.2141 0.0000
0.0000 0.0000 6.9825
Ac Pm Mn N
3 1 2 6
Direct
0.3333 0.6667 0.6748 Ac
0.6667 0.3333 0.3252 Ac
0.0000 0.0000 0.0000 Ac
0.0000 0.0000 0.5000 Pm
0.6667 0.3333 0.7965 Mn
0.3333 0.6667 0.2035 Mn
0.6496 0.8248 0.2832 N
0.1752 0.3504 0.2832 N
0.1752 0.8248 0.2832 N
0.8248 0.6496 0.7168 N
0.3504 0.1752 0.7168 N
0.8248 0.1752 0.7168 N